No. 1
Entry from Alexandria via LeMat-Bulk: a relaxed structure of VGaBr2 (PBE).

Results
ΔE_f (raw)   85 meV per atom
DOS at the Fermi energy   5.941 states/eV/cell
Total magnetic moment   4.0 μB per formula unit

Cell lengths 5.0836, 5.0836, 5.0836 Å; angles 60.00, 60.00, 60.00 degrees
Atoms (fractional coordinates):
1 V 0.0000 0.0000 0.0000
2 Ga 0.5000 0.5000 0.5000
3 Br 0.2500 0.2500 0.2500
4 Br 0.7500 0.7500 0.7500

***

No. 2
Entry from Alexandria via LeMat-Bulk: a relaxed structure of Y3HoIn2S (PBE).

Results
ΔE_f (raw)   -726 meV per atom
DOS at the Fermi energy   4.789 states/eV/cell
Total magnetic moment   0.0 μB per formula unit

Cell lengths 8.7707, 8.7707, 8.7707 Å; angles 146.54, 146.44, 48.12 degrees
Atoms (fractional coordinates):
1 Y 0.0000 0.0000 0.0000
2 Y 0.3282 0.8282 0.5000
3 Y 0.6718 0.1718 0.5000
4 Ho 0.5000 0.5000 0.0000
5 In 0.1318 0.6318 0.5000
6 In 0.8682 0.3682 0.5000
7 S 0.5000 0.0000 0.5000

***

No. 3
Entry from Alexandria via LeMat-Bulk: a relaxed structure of K2Cd2Ru (PBE).

Results
DOS at the Fermi energy   0.797 states/eV/cell
Energy of formation   0.4718 eV per atom
Total magnetic moment   0.0 μB per formula unit

Cell lengths 7.2237, 7.2237, 5.7772 Å; angles 90.00, 90.00, 90.00 degrees
Atoms (fractional coordinates):
1 K 0.1762 0.3238 0.0000
2 K 0.3238 0.8238 0.0000
3 K 0.6762 0.1762 0.0000
4 K 0.8238 0.6762 0.0000
5 Cd 0.1592 0.6592 0.5000
6 Cd 0.3408 0.1592 0.5000
7 Cd 0.6592 0.8408 0.5000
8 Cd 0.8408 0.3408 0.5000
9 Ru 0.0000 0.0000 0.5000
10 Ru 0.5000 0.5000 0.5000

***

No. 4
Entry from Alexandria via LeMat-Bulk: a relaxed structure of LaDyTePb (PBE).

Results
ΔE_f (raw)   -1017 meV per atom
DOS at the Fermi energy   1.424 states/eV/cell
Total magnetic moment   0.0 μB per formula unit

Cell lengths 7.8299, 7.8299, 7.8299 Å; angles 33.74, 33.74, 33.74 degrees
Atoms (fractional coordinates):
1 La 0.0000 0.0000 0.0000
2 Dy 0.4946 0.4946 0.4946
3 Te 0.2426 0.2426 0.2426
4 Pb 0.7516 0.7516 0.7516

***

No. 5
Entry from Alexandria via LeMat-Bulk: a relaxed structure of ScNiHRu2 (PBE).

Results
Calculated total energy   -7.00 eV/atom
DOS at the Fermi energy   4.280 states/eV/cell
Total magnetic moment   0.0 μB per formula unit

Cell lengths 3.9855, 3.9855, 3.7598 Å; angles 90.00, 90.00, 90.00 degrees
Atoms (fractional coordinates):
1 Sc 0.0000 0.0000 0.0000
2 Ni 0.5000 0.5000 0.0000
3 H 0.5000 0.5000 0.5000
4 Ru 0.0000 0.5000 0.5000
5 Ru 0.5000 0.0000 0.5000

***

No. 6
Entry from Alexandria via LeMat-Bulk: a relaxed structure of Ba4Hg2P (PBE).

Results
DOS at the Fermi energy   10.477 states/eV/cell
Energy of formation   -0.4953 eV per atom
Total magnetic moment   1.1 μB per formula unit

Cell lengths 9.4929, 9.4929, 9.4929 Å; angles 141.38, 141.38, 55.77 degrees
Atoms (fractional coordinates):
1 Ba 0.0000 0.5000 0.5000
2 Ba 0.1848 0.1848 0.0000
3 Ba 0.5000 0.0000 0.5000
4 Ba 0.8152 0.8152 0.0000
5 Hg 0.3920 0.3920 0.0000
6 Hg 0.6080 0.6080 0.0000
7 P 0.0000 0.0000 0.0000

***

No. 7
Entry from Alexandria via LeMat-Bulk: a relaxed structure of Ba3SrMo (PBE).

Results
DOS at the Fermi energy   6.204 states/eV/cell
Energy of formation   0.6489 eV per atom
Total magnetic moment   0.0 μB per formula unit

Cell lengths 6.1885, 6.1885, 6.1885 Å; angles 90.00, 90.00, 90.00 degrees
Atoms (fractional coordinates):
1 Ba 0.0000 0.0000 0.5000
2 Ba 0.0000 0.5000 0.0000
3 Ba 0.5000 0.0000 0.0000
4 Sr 0.5000 0.5000 0.5000
5 Mo 0.0000 0.0000 0.0000

***

No. 8
Entry from Alexandria via LeMat-Bulk: a relaxed structure of TbCe3Os2 (PBE).

Results
DOS at the Fermi energy   18.484 states/eV/cell
Energy of formation   -0.1246 eV per atom
Total magnetic moment   0.0 μB per formula unit

Cell lengths 8.6981, 8.6981, 9.3839 Å; angles 114.60, 114.60, 26.86 degrees
Atoms (fractional coordinates):
1 Tb 0.1094 0.1094 0.0335
2 Tb 0.8906 0.8906 0.9665
3 Ce 0.0538 0.0538 0.3808
4 Ce 0.2786 0.2786 0.6183
5 Ce 0.3658 0.3658 0.2651
6 Ce 0.6342 0.6342 0.7349
7 Ce 0.7214 0.7214 0.3817
8 Ce 0.9462 0.9462 0.6192
9 Os 0.2417 0.2417 0.8933
10 Os 0.4714 0.4714 0.8247
11 Os 0.5286 0.5286 0.1753
12 Os 0.7583 0.7583 0.1067

***

No. 9
Entry from Alexandria via LeMat-Bulk: a relaxed structure of BSbRh3 (PBE).

Results
ΔE_f (raw)   -385 meV per atom
DOS at the Fermi energy   4.353 states/eV/cell
Total magnetic moment   0.0 μB per formula unit

Cell lengths 3.9525, 4.0583, 9.1969 Å; angles 102.04, 96.01, 90.50 degrees
Atoms (fractional coordinates):
1 B 0.1505 0.3893 0.0523
2 B 0.8495 0.6107 0.9477
3 Sb 0.2837 0.9545 0.6528
4 Sb 0.7163 0.0455 0.3472
5 Rh 0.1596 0.9496 0.1405
6 Rh 0.2214 0.5760 0.3883
7 Rh 0.3390 0.5447 0.8555
8 Rh 0.6610 0.4553 0.1445
9 Rh 0.7786 0.4240 0.6117
10 Rh 0.8404 0.0504 0.8595

***

No. 10
Entry from Alexandria via LeMat-Bulk: a relaxed structure of AcRhPb3 (PBE).

Results
DOS at the Fermi energy   5.641 states/eV/cell
Energy of formation   -0.3239 eV per atom
Total magnetic moment   0.0 μB per formula unit

Cell lengths 6.3145, 7.0637, 7.2810 Å; angles 90.00, 115.48, 90.00 degrees
Atoms (fractional coordinates):
1 Ac 0.0229 0.2500 0.3271
2 Ac 0.9771 0.7500 0.6729
3 Rh 0.2895 0.7500 0.4751
4 Rh 0.7105 0.2500 0.5249
5 Pb 0.1181 0.2500 0.8641
6 Pb 0.4646 0.5185 0.2379
7 Pb 0.4646 0.9815 0.2379
8 Pb 0.5354 0.0185 0.7621
9 Pb 0.5354 0.4815 0.7621
10 Pb 0.8819 0.7500 0.1359

***

No. 11
Entry from Alexandria via LeMat-Bulk: a relaxed structure of HfFeSe2Br (PBE).

Results
ΔE_f (raw)   -1 meV per atom
DOS at the Fermi energy   8.294 states/eV/cell
Total magnetic moment   4.0 μB per formula unit

Cell lengths 5.1815, 5.1815, 5.2306 Å; angles 90.00, 90.00, 90.00 degrees
Atoms (fractional coordinates):
1 Hf 0.0000 0.0000 0.0000
2 Fe 0.5000 0.5000 0.5000
3 Se 0.0000 0.5000 0.0000
4 Se 0.5000 0.0000 0.0000
5 Br 0.0000 0.0000 0.5000

***

No. 12
Entry from Alexandria via LeMat-Bulk: a relaxed structure of BaAgHF6 (PBE).

Results
Calculated total energy   -4.29 eV/atom
Total magnetic moment   0.0 μB per formula unit

Cell lengths 4.8887, 5.3023, 5.8207 Å; angles 85.45, 70.36, 81.28 degrees
Atoms (fractional coordinates):
1 Ba 0.0000 0.0000 0.0000
2 Ag 0.4315 0.4638 0.4177
3 H 0.4593 0.4450 0.9087
4 F 0.0652 0.3707 0.6523
5 F 0.2268 0.8037 0.3743
6 F 0.4485 0.6371 0.8294
7 F 0.4578 0.2294 0.0030
8 F 0.6345 0.1236 0.4603
9 F 0.8066 0.5412 0.1748

***

No. 13
Entry from Alexandria via LeMat-Bulk: a relaxed structure of HoNbIn2 (PBE).

Results
DOS at the Fermi energy   3.566 states/eV/cell
Energy of formation   0.0278 eV per atom
Total magnetic moment   0.0 μB per formula unit

Cell lengths 10.4620, 10.4620, 10.4620 Å; angles 17.77, 17.77, 17.77 degrees
Atoms (fractional coordinates):
1 Ho 0.0000 0.0000 0.0000
2 Nb 0.5000 0.5000 0.5000
3 In 0.2442 0.2442 0.2442
4 In 0.7558 0.7558 0.7558

***

No. 14
Entry from Alexandria via LeMat-Bulk: a relaxed structure of Y4Er19Sc6 (PBE).

Results
DOS at the Fermi energy   40.104 states/eV/cell
Energy of formation   0.4077 eV per atom
Total magnetic moment   2.9 μB per formula unit

Cell lengths 10.5650, 10.5650, 10.5650 Å; angles 109.47, 109.47, 109.47 degrees
Atoms (fractional coordinates):
1 Y 0.0000 0.0000 0.3571
2 Y 0.0000 0.3571 0.0000
3 Y 0.3571 0.0000 0.0000
4 Y 0.6429 0.6429 0.6429
5 Er 0.0000 0.0000 0.0000
6 Er 0.0000 0.2665 0.2665
7 Er 0.0000 0.7335 0.7335
8 Er 0.0073 0.2216 0.6680
9 Er 0.2143 0.9927 0.6607
10 Er 0.2216 0.6680 0.0073
11 Er 0.2665 0.0000 0.2665
12 Er 0.2665 0.2665 0.0000
13 Er 0.3320 0.5536 0.3393
14 Er 0.3393 0.3320 0.5536
15 Er 0.4464 0.7784 0.7857
16 Er 0.5536 0.3393 0.3320
17 Er 0.6607 0.2143 0.9927
18 Er 0.6680 0.0073 0.2216
19 Er 0.7335 0.0000 0.7335
20 Er 0.7335 0.7335 0.0000
21 Er 0.7784 0.7857 0.4464
22 Er 0.7857 0.4464 0.7784
23 Er 0.9927 0.6607 0.2143
24 Sc 0.1185 0.5000 0.6185
25 Sc 0.3815 0.8815 0.5000
26 Sc 0.5000 0.3815 0.8815
27 Sc 0.5000 0.6185 0.1185
28 Sc 0.6185 0.1185 0.5000
29 Sc 0.8815 0.5000 0.3815

***

No. 15
Entry from Alexandria via LeMat-Bulk: a relaxed structure of Tl2RhPbCl (PBE).

Results
ΔE_f (raw)   -355 meV per atom
DOS at the Fermi energy   0.823 states/eV/cell
Total magnetic moment   0.0 μB per formula unit

Cell lengths 5.3186, 5.3186, 5.2353 Å; angles 90.00, 90.00, 90.00 degrees
Atoms (fractional coordinates):
1 Tl 0.0000 0.5000 0.0000
2 Tl 0.5000 0.0000 0.0000
3 Rh 0.0000 0.0000 0.0000
4 Pb 0.0000 0.0000 0.5000
5 Cl 0.5000 0.5000 0.5000

***

No. 16
Entry from Alexandria via LeMat-Bulk: a relaxed structure of SrInB2I (PBE).

Results
ΔE_f (raw)   1574 meV per atom
DOS at the Fermi energy   2.991 states/eV/cell
Total magnetic moment   0.0 μB per formula unit

Cell lengths 4.8580, 4.8580, 6.0174 Å; angles 90.00, 90.00, 90.00 degrees
Atoms (fractional coordinates):
1 Sr 0.0000 0.0000 0.0000
2 In 0.5000 0.5000 0.0000
3 B 0.0000 0.5000 0.5000
4 B 0.5000 0.0000 0.5000
5 I 0.0000 0.0000 0.5000

***

No. 17
Entry from Alexandria via LeMat-Bulk: a relaxed structure of CrAsPb2 (PBE).

Results
DOS at the Fermi energy   3.070 states/eV/cell
Energy of formation   0.5795 eV per atom
Total magnetic moment   4.2 μB per formula unit

Cell lengths 10.0059, 10.0059, 10.0059 Å; angles 19.55, 19.55, 19.55 degrees
Atoms (fractional coordinates):
1 Cr 0.0000 0.0000 0.0000
2 As 0.5000 0.5000 0.5000
3 Pb 0.2532 0.2532 0.2532
4 Pb 0.7468 0.7468 0.7468

***

No. 18
Entry from Alexandria via LeMat-Bulk: a relaxed structure of Tm2CoSnC (PBE).

Results
DOS at the Fermi energy   7.890 states/eV/cell
Energy of formation   -0.3906 eV per atom
Total magnetic moment   0.0 μB per formula unit

Cell lengths 6.8366, 3.7367, 8.2727 Å; angles 90.00, 111.85, 90.00 degrees
Atoms (fractional coordinates):
1 Tm 0.1272 0.2500 0.3740
2 Tm 0.2293 0.7500 0.0245
3 Tm 0.7707 0.2500 0.9755
4 Tm 0.8728 0.7500 0.6260
5 Co 0.2156 0.2500 0.7424
6 Co 0.7844 0.7500 0.2576
7 Sn 0.4345 0.7500 0.6894
8 Sn 0.5655 0.2500 0.3106
9 C 0.0154 0.2500 0.8347
10 C 0.9846 0.7500 0.1653

***

No. 19
Entry from Alexandria via LeMat-Bulk: a relaxed structure of SrLaW2 (PBE).

Results
DOS at the Fermi energy   3.567 states/eV/cell
Energy of formation   1.1428 eV per atom
Total magnetic moment   0.0 μB per formula unit

Cell lengths 2.8764, 2.8764, 10.9043 Å; angles 90.00, 90.00, 90.00 degrees
Atoms (fractional coordinates):
1 Sr 0.0000 0.0000 0.0000
2 La 0.0000 0.0000 0.5000
3 W 0.5000 0.5000 0.2533
4 W 0.5000 0.5000 0.7467

***

No. 20
Entry from Alexandria via LeMat-Bulk: a relaxed structure of Nb2CoSe6 (PBE).

Results
ΔE_f (raw)   -478 meV per atom
DOS at the Fermi energy   9.520 states/eV/cell
Total magnetic moment   0.0 μB per formula unit

Cell lengths 6.0445, 6.0445, 10.8788 Å; angles 90.00, 90.00, 90.00 degrees
Atoms (fractional coordinates):
1 Nb 0.0000 0.0000 0.1494
2 Nb 0.0000 0.0000 0.8506
3 Nb 0.5000 0.5000 0.3506
4 Nb 0.5000 0.5000 0.6494
5 Co 0.0000 0.0000 0.5000
6 Co 0.5000 0.5000 0.0000
7 Se 0.1893 0.1893 0.3346
8 Se 0.1893 0.1893 0.6654
9 Se 0.2239 0.2239 0.0000
10 Se 0.2761 0.7239 0.5000
11 Se 0.3107 0.6893 0.1654
12 Se 0.3107 0.6893 0.8346
13 Se 0.6893 0.3107 0.1654
14 Se 0.6893 0.3107 0.8346
15 Se 0.7239 0.2761 0.5000
16 Se 0.7761 0.7761 0.0000
17 Se 0.8107 0.8107 0.3346
18 Se 0.8107 0.8107 0.6654